PuClO2: relaxed, PBE-GGA.

- Fermi-level density of states (states/eV per atom) = 1.158
- raw total energy (eV/atom) = -8.7499
- ΔE_f (raw) (meV/atom) = -2226
- M_tot (μB per formula unit) = 3.00

Structure (CIF):
```
data_PuClO2
_chemical_formula_sum 'Pu2 Cl2 O4'
_cell_length_a 6.468
_cell_length_b 3.387
_cell_length_c 7.136
_cell_angle_alpha 90.00
_cell_angle_beta 110.99
_cell_angle_gamma 90.00
_space_group_name_H-M_alt 'P 1 21/m 1'
_space_group_IT_number 11
loop_
_space_group_symop_operation_xyz
'x,y,z'
'-x,-y,-z'
'-x,y+1/2,-z'
'x,-y+1/2,z'
loop_
_atom_site_label
_atom_site_fract_x
_atom_site_fract_y
_atom_site_fract_z
Pu1 0.224 0.250 0.187
Cl1 0.294 0.750 0.533
O1 0.012 0.250 0.862
O2 0.380 0.750 0.131
```